Record 1
{"formula": "SbTe2HW", "functional": "PBE-GGA", "state": "optimized geometry", "final_energy_ev_per_cell": -21.58, "relative_energy_ev_per_atom": 0.0678, "cell": [[5.140, 0.000, 0.000], [0.000, 5.140, 0.000], [0.000, 0.000, 3.722]], "species": ["Te", "Te", "Sb", "H", "W"], "fractional_positions": [[0.000, 0.500, 0.000], [0.500, 0.000, 0.000], [0.000, 0.000, 0.500], [0.000, 0.000, 0.000], [0.500, 0.500, 0.500]]}

Record 2
{"formula": "Sb2TeHW", "functional": "PBE-GGA", "state": "optimized geometry", "final_energy_ev_per_cell": -22.40, "relative_energy_ev_per_atom": 0.0958, "cell": [[4.328, 0.000, 0.000], [0.000, 4.328, 0.000], [0.000, 0.000, 5.334]], "species": ["W", "Te", "Sb", "Sb", "H"], "fractional_positions": [[0.500, 0.500, 0.500], [0.000, 0.000, 0.500], [0.000, 0.500, 0.000], [0.500, 0.000, 0.000], [0.000, 0.000, 0.000]]}

Record 3
{"formula": "SbTe2HW", "functional": "PBE-GGA", "state": "optimized geometry", "final_energy_ev_per_cell": -21.92, "relative_energy_ev_per_atom": 0.0000, "cell": [[-3.917, 0.470, -3.569], [-3.595, -0.772, 3.845], [-0.179, 5.249, 0.887]], "species": ["H", "Sb", "Te", "Te", "W"], "fractional_positions": [[0.500, 0.500, 0.500], [0.000, 0.000, 0.500], [0.000, 0.500, 0.000], [0.500, 0.000, 0.000], [0.000, 0.000, 0.000]]}

Record 4
{"formula": "YSb2TeH", "functional": "PBE-GGA", "state": "optimized geometry", "final_energy_ev_per_cell": -22.11, "relative_energy_ev_per_atom": 0.0000, "cell": [[4.436, 0.000, 0.000], [0.000, 4.436, 0.000], [0.000, 0.000, 5.966]], "species": ["Y", "Sb", "Sb", "Te", "H"], "fractional_positions": [[0.500, 0.500, 0.500], [0.000, 0.500, 0.000], [0.500, 0.000, 0.000], [0.000, 0.000, 0.500], [0.000, 0.000, 0.000]]}

Record 5
{"formula": "YSb2TeH", "functional": "PBE-GGA", "state": "optimized geometry", "final_energy_ev_per_cell": -18.30, "relative_energy_ev_per_atom": 0.7631, "cell": [[5.866, 0.000, 0.000], [0.000, 5.866, 0.000], [0.000, 0.000, 5.831]], "species": ["H", "Sb", "Sb", "Te", "Y"], "fractional_positions": [[0.500, 0.500, 0.500], [0.000, 0.500, 0.000], [0.500, 0.000, 0.000], [0.000, 0.000, 0.500], [0.000, 0.000, 0.000]]}

Record 6
{"formula": "ZnSb2TeH", "functional": "PBE-GGA", "state": "optimized geometry", "final_energy_ev_per_cell": -13.65, "relative_energy_ev_per_atom": 0.0000, "cell": [[-0.170, 0.760, 4.382], [-0.282, -4.378, 0.749], [5.509, -0.309, 0.267]], "species": ["Zn", "Sb", "Sb", "Te", "H"], "fractional_positions": [[0.500, 0.500, 0.500], [0.500, 0.000, 0.000], [0.000, 0.500, 0.000], [0.000, 0.000, 0.500], [0.000, 0.000, 0.000]]}

Record 7
{"formula": "ZnSb2TeH", "functional": "PBE-GGA", "state": "optimized geometry", "final_energy_ev_per_cell": -11.41, "relative_energy_ev_per_atom": 0.4468, "cell": [[-0.261, 4.793, -2.128], [-5.049, 0.346, 1.399], [1.471, 2.196, 4.767]], "species": ["Sb", "Sb", "Te", "H", "Zn"], "fractional_positions": [[0.500, 0.000, 0.000], [0.000, 0.500, 0.000], [0.000, 0.000, 0.500], [0.500, 0.500, 0.500], [0.000, 0.000, 0.000]]}

Record 8
{"formula": "ZrSb2TeH", "functional": "PBE-GGA", "state": "optimized geometry", "final_energy_ev_per_cell": -20.62, "relative_energy_ev_per_atom": 0.3408, "cell": [[-5.341, 0.464, -1.547], [-1.602, -2.215, 4.864], [-0.211, 5.123, 2.264]], "species": ["Te", "Zr", "Sb", "Sb", "H"], "fractional_positions": [[0.000, 0.000, 0.500], [0.000, 0.000, 0.000], [0.500, 0.000, 0.000], [0.000, 0.500, 0.000], [0.500, 0.500, 0.500]]}

Record 9
{"formula": "ZrSbTe2H", "functional": "PBE-GGA", "state": "optimized geometry", "final_energy_ev_per_cell": -20.31, "relative_energy_ev_per_atom": 0.2453, "cell": [[-1.044, -4.715, -2.870], [3.808, 1.499, -3.849], [3.986, -2.654, 2.910]], "species": ["Sb", "Te", "Te", "H", "Zr"], "fractional_positions": [[0.000, 0.000, 0.500], [0.500, 0.000, 0.000], [0.000, 0.500, 0.000], [0.500, 0.500, 0.500], [0.000, 0.000, 0.000]]}

Record 10
{"formula": "ZrSb2TeH", "functional": "PBE-GGA", "state": "optimized geometry", "final_energy_ev_per_cell": -22.32, "relative_energy_ev_per_atom": 0.0000, "cell": [[4.365, 0.000, 0.000], [0.000, 4.365, 0.000], [0.000, 0.000, 5.663]], "species": ["Te", "Sb", "Sb", "H", "Zr"], "fractional_positions": [[0.000, 0.000, 0.500], [0.500, 0.000, 0.000], [0.000, 0.500, 0.000], [0.000, 0.000, 0.000], [0.500, 0.500, 0.500]]}

Record 11
{"formula": "ZrSbTe2H", "functional": "PBE-GGA", "state": "optimized geometry", "final_energy_ev_per_cell": -21.53, "relative_energy_ev_per_atom": 0.0000, "cell": [[5.335, 0.000, 0.000], [0.000, 5.335, 0.000], [0.000, 0.000, 3.790]], "species": ["Zr", "H", "Sb", "Te", "Te"], "fractional_positions": [[0.500, 0.500, 0.500], [0.000, 0.000, 0.000], [0.000, 0.000, 0.500], [0.000, 0.500, 0.000], [0.500, 0.000, 0.000]]}

Record 12
{"formula": "Th5Sb2H2", "functional": "PBE-GGA", "state": "optimized geometry", "final_energy_ev_per_cell": -54.77, "cell": [[-5.205, -0.122, 1.969], [0.229, -0.992, -7.324], [1.190, -5.626, 2.797]], "species": ["Th", "Th", "Th", "Th", "Th", "H", "H", "Sb", "Sb"], "fractional_positions": [[0.000, 0.000, 0.000], [0.833, 0.666, 0.447], [0.167, 0.334, 0.553], [0.666, 0.331, 0.889], [0.334, 0.669, 0.111], [0.155, 0.310, 0.908], [0.845, 0.690, 0.092], [0.415, 0.831, 0.682], [0.585, 0.169, 0.318]]}

Record 13
{"formula": "Th3SbH2", "functional": "PBE-GGA", "state": "optimized geometry", "final_energy_ev_per_cell": -69.79, "cell": [[-1.595, 0.302, -3.552], [6.703, -1.647, -3.151], [-2.474, -9.391, 2.460]], "species": ["H", "H", "H", "H", "Th", "Th", "Th", "Th", "Th", "Th", "Sb", "Sb"], "fractional_positions": [[0.285, 0.580, 0.570], [0.057, 0.248, 0.115], [0.715, 0.420, 0.430], [0.943, 0.752, 0.885], [0.742, 0.720, 0.484], [0.412, 0.593, 0.823], [0.058, 0.823, 0.115], [0.258, 0.280, 0.516], [0.942, 0.177, 0.885], [0.588, 0.407, 0.177], [0.659, 0.049, 0.319], [0.341, 0.951, 0.681]]}

Record 14
{"formula": "ThSbH", "functional": "PBE-GGA", "state": "optimized geometry", "final_energy_ev_per_cell": -15.48, "relative_energy_ev_per_atom": 0.6563, "cell": [[-3.131, -2.023, 2.000], [1.839, -3.708, -0.872], [2.838, 3.092, 3.098]], "species": ["H", "Th", "Sb"], "fractional_positions": [[0.913, 0.913, 0.825], [0.656, 0.656, 0.313], [0.281, 0.281, 0.562]]}

Record 15
{"formula": "ThSbH", "functional": "PBE-GGA", "state": "optimized geometry", "final_energy_ev_per_cell": -68.51, "relative_energy_ev_per_atom": 0.1078, "cell": [[4.145, 0.000, 0.000], [0.000, 7.619, 0.000], [0.000, 0.000, 8.465]], "species": ["Sb", "Sb", "Sb", "Sb", "Th", "Th", "Th", "Th", "H", "H", "H", "H"], "fractional_positions": [[0.750, 0.927, 0.713], [0.750, 0.573, 0.213], [0.250, 0.073, 0.287], [0.250, 0.427, 0.787], [0.250, 0.788, 0.994], [0.750, 0.288, 0.506], [0.250, 0.712, 0.494], [0.750, 0.212, 0.006], [0.750, 0.582, 0.554], [0.750, 0.918, 0.054], [0.250, 0.418, 0.446], [0.250, 0.082, 0.946]]}

Record 16
{"formula": "Th3SbH", "functional": "PBE-GGA", "state": "optimized geometry", "final_energy_ev_per_cell": -31.82, "relative_energy_ev_per_atom": 0.0000, "cell": [[-2.127, -0.448, -4.448], [-2.620, -3.866, 1.642], [-3.622, 3.060, 1.424]], "species": ["H", "Th", "Th", "Th", "Sb"], "fractional_positions": [[0.000, 0.000, 0.000], [0.000, 0.000, 0.500], [0.000, 0.500, 0.000], [0.500, 0.000, 0.000], [0.500, 0.500, 0.500]]}

Record 17
{"formula": "Th2Sb2H", "functional": "PBE-GGA", "state": "optimized geometry", "final_energy_ev_per_cell": -59.79, "cell": [[4.235, 0.000, 0.000], [0.000, 8.440, 0.000], [-2.118, 0.000, 7.782]], "species": ["Sb", "Sb", "Sb", "Sb", "Th", "Th", "Th", "Th", "H", "H"], "fractional_positions": [[0.974, 0.734, 0.947], [0.780, 0.388, 0.561], [0.026, 0.234, 0.053], [0.220, 0.888, 0.439], [0.432, 0.464, 0.864], [0.568, 0.964, 0.136], [0.851, 0.031, 0.702], [0.149, 0.531, 0.298], [0.582, 0.517, 0.163], [0.418, 0.017, 0.837]]}

Record 18
{"formula": "ThSbH", "functional": "PBE-GGA", "state": "optimized geometry", "final_energy_ev_per_cell": -31.76, "relative_energy_ev_per_atom": 0.5230, "cell": [[4.235, 0.000, 0.000], [2.118, 3.591, -0.642], [2.118, -1.736, 10.062]], "species": ["Sb", "Sb", "Th", "Th", "H", "H"], "fractional_positions": [[0.651, 0.843, 0.854], [0.349, 0.157, 0.146], [0.817, 0.017, 0.349], [0.183, 0.983, 0.651], [0.433, 0.732, 0.402], [0.567, 0.268, 0.598]]}

Record 19
{"formula": "ThSb2H", "functional": "PBE-GGA", "state": "optimized geometry", "final_energy_ev_per_cell": -20.22, "cell": [[4.282, -0.186, 0.339], [-2.283, 3.627, -0.339], [-1.514, -1.422, 6.432]], "species": ["H", "Sb", "Sb", "Th"], "fractional_positions": [[0.023, 0.289, 0.312], [0.558, 0.089, 0.647], [0.222, 0.756, 0.978], [0.696, 0.616, 0.313]]}

Record 20
{"formula": "Th2SbH", "functional": "PBE-GGA", "state": "optimized geometry", "final_energy_ev_per_cell": -24.37, "relative_energy_ev_per_atom": 0.0000, "cell": [[3.936, 0.004, -0.009], [0.002, 3.937, -0.011], [-1.983, -1.983, 6.291]], "species": ["Sb", "H", "Th", "Th"], "fractional_positions": [[0.221, 0.881, 0.228], [0.472, 0.631, 0.728], [0.580, 0.240, 0.945], [0.862, 0.522, 0.511]]}

Record 21
{"formula": "Th3Sb3H2", "functional": "PBE-GGA", "state": "optimized geometry", "final_energy_ev_per_cell": -94.52, "cell": [[-0.083, 3.883, -1.570], [-5.321, -2.814, -1.089], [-5.717, 5.462, 13.814]], "species": ["Sb", "Sb", "Sb", "Sb", "Sb", "Sb", "H", "H", "H", "H", "Th", "Th", "Th", "Th", "Th", "Th"], "fractional_positions": [[0.930, 0.860, 0.102], [0.070, 0.140, 0.898], [0.070, 0.140, 0.602], [0.358, 0.717, 0.750], [0.642, 0.283, 0.250], [0.930, 0.860, 0.398], [0.234, 0.469, 0.435], [0.766, 0.531, 0.565], [0.234, 0.469, 0.065], [0.766, 0.531, 0.935], [0.355, 0.710, 0.250], [0.644, 0.288, 0.443], [0.645, 0.290, 0.750], [0.644, 0.288, 0.057], [0.356, 0.712, 0.943], [0.356, 0.712, 0.557]]}

Record 22
{"formula": "Th3SbH", "functional": "PBE-GGA", "state": "optimized geometry", "final_energy_ev_per_cell": -63.38, "relative_energy_ev_per_atom": 0.0261, "cell": [[-3.135, 2.506, 2.292], [3.359, -1.441, 6.169], [2.536, 6.795, -3.960]], "species": ["Sb", "Sb", "Th", "Th", "Th", "Th", "Th", "Th", "H", "H"], "fractional_positions": [[0.000, 0.364, 0.729], [0.000, 0.636, 0.271], [0.000, 0.876, 0.752], [0.500, 0.724, 0.000], [0.500, 0.276, 0.000], [0.500, 0.000, 0.500], [0.000, 0.124, 0.248], [0.500, 0.500, 0.500], [0.500, 0.870, 0.741], [0.500, 0.130, 0.259]]}

Record 23
{"formula": "Th4Sb5H", "functional": "PBE-GGA", "state": "optimized geometry", "final_energy_ev_per_cell": -57.07, "cell": [[4.320, 0.000, 0.000], [0.000, 8.060, 1.504], [-2.160, 0.495, 8.695]], "species": ["Sb", "Sb", "Sb", "Sb", "Sb", "Th", "Th", "Th", "Th", "H"], "fractional_positions": [[0.862, 0.643, 0.723], [0.500, 0.500, 0.000], [0.215, 0.778, 0.430], [0.138, 0.357, 0.277], [0.785, 0.222, 0.570], [0.960, 0.245, 0.920], [0.040, 0.755, 0.080], [0.638, 0.055, 0.275], [0.362, 0.945, 0.725], [0.500, 0.000, 0.000]]}

Record 24
{"formula": "ThSbH2", "functional": "PBE-GGA", "state": "optimized geometry", "final_energy_ev_per_cell": -40.38, "relative_energy_ev_per_atom": 0.0000, "cell": [[3.983, 0.000, 0.000], [-1.992, 5.790, 0.000], [0.000, 0.000, 6.310]], "species": ["Sb", "Sb", "Th", "Th", "H", "H", "H", "H"], "fractional_positions": [[0.938, 0.877, 0.250], [0.062, 0.123, 0.750], [0.787, 0.574, 0.750], [0.213, 0.426, 0.250], [0.310, 0.620, 0.935], [0.310, 0.620, 0.565], [0.690, 0.380, 0.435], [0.690, 0.380, 0.065]]}

Record 25
{"formula": "ThSbH", "functional": "PBE-GGA", "state": "optimized geometry", "final_energy_ev_per_cell": -17.45, "relative_energy_ev_per_atom": 0.0000, "cell": [[4.302, 0.000, 0.000], [0.000, 4.179, 0.000], [0.000, -2.089, 3.619]], "species": ["Th", "H", "Sb"], "fractional_positions": [[0.167, 0.667, 0.333], [0.167, 0.000, 0.000], [0.667, 0.333, 0.667]]}

Record 26
{"formula": "Th4Sb5H2", "functional": "PBE-GGA", "state": "optimized geometry", "final_energy_ev_per_cell": -63.19, "cell": [[4.465, 0.000, 0.000], [0.000, 8.367, -2.438], [-2.232, -5.896, 10.134]], "species": ["Th", "Th", "Th", "Th", "Sb", "Sb", "Sb", "Sb", "Sb", "H", "H"], "fractional_positions": [[0.994, 0.738, 0.988], [0.707, 0.679, 0.413], [0.006, 0.262, 0.012], [0.293, 0.321, 0.587], [0.143, 0.791, 0.285], [0.159, 0.325, 0.318], [0.500, 0.000, 0.000], [0.841, 0.675, 0.682], [0.857, 0.209, 0.715], [0.436, 0.574, 0.872], [0.564, 0.426, 0.128]]}

| no. | density (g/cm³) |
| --- | --- |
| 1 | 9.49 |
| 2 | 9.24 |
| 3 | 6.19 |
| 4 | 6.52 |
| 5 | 3.81 |
| 6 | 6.64 |
| 7 | 4.84 |
| 8 | 4.41 |
| 9 | 4.41 |
| 10 | 7.13 |
| 11 | 7.22 |
| 12 | 10.15 |
| 13 | 9.42 |
| 14 | 7.70 |
| 15 | 8.81 |
| 16 | 11.21 |
| 17 | 8.46 |
| 18 | 7.95 |
| 19 | 8.08 |
| 20 | 10.01 |
| 21 | 9.22 |
| 22 | 11.02 |
| 23 | 8.53 |
| 24 | 8.12 |
| 25 | 9.06 |
| 26 | 8.13 |